[1]
A plane-wave DFT calculation with PBE was carried out for a relaxed structure of Ta2WBr.

Values from the calculation:
- Formation energy (no corrections): 0.937 eV/atom
- Total magnetization: 0.000 μB per cell
- E above lowest polymorph: 0.7679 eV/atom
- Space-group type: I-4m2

Cell: 5.4864 5.4864 5.4864 Å, 138.56 138.56 60.05°
Fractional coordinates of all 4 atoms:
Ta (0.2500, 0.7500, 0.5000)
Ta (0.0000, 0.0000, 0.0000)
W (0.5000, 0.5000, 0.0000)
Br (0.7500, 0.2500, 0.5000)


[2]
A plane-wave DFT calculation with PBE was carried out for a relaxed structure of Hf4SiRh2.

Values from the calculation:
- Formation energy (no corrections): 0.055 eV/atom
- Total magnetization: 0.000 μB per cell
- Space-group type: I4/mmm

Cell: 4.8318 4.8318 7.3778 Å, 70.89 70.89 90.00°
Fractional coordinates of all 7 atoms:
Si (0.0000, 0.0000, 0.0000)
Hf (0.0000, 0.5000, 0.0000)
Hf (0.5000, 0.0000, 0.0000)
Hf (0.8050, 0.8050, 0.3900)
Hf (0.1950, 0.1950, 0.6100)
Rh (0.3834, 0.3834, 0.2333)
Rh (0.6166, 0.6166, 0.7667)


[3]
A plane-wave DFT calculation with PBE was carried out for a relaxed structure of Li2NpPtO6.

Values from the calculation:
- Formation energy (no corrections): -1.868 eV/atom
- Total magnetization: 0.000 μB per cell
- Space-group type: C2/m

Cell: 5.0259 5.5124 6.3011 Å, 115.94 120.19 90.00°
Fractional coordinates of all 10 atoms:
O (0.8449, 0.3362, 0.1868)
O (0.1551, 0.6638, 0.8132)
O (0.8449, 0.8506, 0.1868)
O (0.3972, 0.6688, 0.3375)
O (0.1551, 0.1494, 0.8132)
O (0.6028, 0.3312, 0.6625)
Np (0.0000, 0.5000, 0.0000)
Li (0.1451, 0.2594, 0.5188)
Li (0.8549, 0.7406, 0.4812)
Pt (0.5000, 0.0000, 0.0000)


[4]
A plane-wave DFT calculation with PBE was carried out for a relaxed structure of YPa2MnN5.

Values from the calculation:
- Formation energy (no corrections): -1.265 eV/atom
- Total magnetization: 5.999 μB per cell
- Space-group type: P4/mbm

Cell: 5.5899 6.5375 6.5375 Å, 90.00 90.00 90.00°
Fractional coordinates of all 18 atoms:
Y (0.0000, 0.0000, 0.0000)
Y (0.0000, 0.5000, 0.5000)
Pa (0.5000, 0.3286, 0.8286)
Pa (0.5000, 0.8286, 0.6714)
Pa (0.5000, 0.1714, 0.3286)
Pa (0.5000, 0.6714, 0.1714)
N (0.2379, 0.1490, 0.6490)
N (0.7621, 0.6490, 0.8510)
N (0.2379, 0.6490, 0.8510)
N (0.2379, 0.3510, 0.1490)
N (0.7621, 0.3510, 0.1490)
N (0.5000, 0.0000, 0.0000)
N (0.5000, 0.5000, 0.5000)
N (0.2379, 0.8510, 0.3510)
N (0.7621, 0.8510, 0.3510)
N (0.7621, 0.1490, 0.6490)
Mn (0.0000, 0.5000, 0.0000)
Mn (0.0000, 0.0000, 0.5000)


[5]
A plane-wave DFT calculation with PBE was carried out for a relaxed structure of Sb2RuRh.

Values from the calculation:
- Formation energy (no corrections): 0.201 eV/atom
- Total magnetization: 0.000 μB per cell
- E above lowest polymorph: 0.3632 eV/atom
- Space-group type: I-42d

Cell: 5.9205 5.9205 7.1902 Å, 65.69 65.69 90.00°
Fractional coordinates of all 8 atoms:
Ru (0.5000, 0.5000, 0.0000)
Ru (0.2500, 0.7500, 0.5000)
Sb (0.6229, 0.1250, 0.2500)
Sb (0.3750, 0.3771, 0.7500)
Sb (0.8750, 0.8729, 0.7500)
Sb (0.1271, 0.6250, 0.2500)
Rh (0.0000, 0.0000, 0.0000)
Rh (0.7500, 0.2500, 0.5000)


[6]
A plane-wave DFT calculation with PBE was carried out for a relaxed structure of Be2AlCl.

Values from the calculation:
- Formation energy (no corrections): 0.506 eV/atom
- Total magnetization: 0.000 μB per cell
- E above lowest polymorph: 0.5336 eV/atom
- Space-group type: Immm

Cell: 4.9400 4.9400 4.9400 Å, 146.54 116.30 73.90°
Fractional coordinates of all 4 atoms:
Be (0.9920, 0.9920, 0.0000)
Be (0.5080, 0.5080, 0.0000)
Al (0.2500, 0.7500, 0.5000)
Cl (0.7500, 0.2500, 0.5000)


[7]
A plane-wave DFT calculation with PBE was carried out for a relaxed structure of ZrTaAu.

Values from the calculation:
- Total magnetization: 0.000 μB per cell
- E above lowest polymorph: 0.0000 eV/atom
- Formation enthalpy at 0 K: -0.31 eV/atom
- Space-group type: P4/nmm

Cell: 3.4972 3.4973 9.5603 Å, 90.00 90.00 90.02°
Fractional coordinates of all 6 atoms:
Ta (0.8724, 0.2911, 0.8307)
Ta (0.3724, 0.7911, 0.6816)
Au (0.3725, 0.7911, 0.3410)
Au (0.8724, 0.2911, 0.1713)
Zr (0.3724, 0.7912, 0.0152)
Zr (0.8725, 0.2911, 0.4971)


[8]
A plane-wave DFT calculation with PBE was carried out for a relaxed structure of La6In2C.

Values from the calculation:
- Total magnetization: 0.008 μB per cell
- E above lowest polymorph: 0.3102 eV/atom
- Formation enthalpy at 0 K: -0.03 eV/atom
- Space-group type: P4_2/mnm

Cell: 7.4912 7.4912 11.5751 Å, 90.00 90.00 90.00°
Fractional coordinates of all 18 atoms:
La (0.7631, 0.7631, 0.0000)
La (0.1903, 0.8097, 0.8531)
La (0.2369, 0.2369, 0.0000)
La (0.6903, 0.6903, 0.3531)
La (0.8097, 0.1903, 0.8531)
La (0.3097, 0.3097, 0.3531)
La (0.2631, 0.7369, 0.5000)
La (0.3097, 0.3097, 0.6469)
La (0.8097, 0.1903, 0.1469)
La (0.6903, 0.6903, 0.6469)
La (0.7369, 0.2631, 0.5000)
La (0.1903, 0.8097, 0.1469)
In (0.5000, 0.5000, 0.1341)
In (0.0000, 0.0000, 0.3659)
In (0.0000, 0.0000, 0.6341)
In (0.5000, 0.5000, 0.8659)
C (0.5000, 0.5000, 0.5000)
C (0.0000, 0.0000, 0.0000)


Here are the calculated calculated density numbers, same order: 14.51 10.31 6.91 9.40 7.25 2.28 13.32 5.50 (g cm⁻³).